Computed, not measured: a geometry-optimized KNiMo2 structure at the PBE level of DFT.

Output
E_form, eV per atom: 1.30

abc: 5.2433 10.3243 2.6118
angles: 90.00 90.00 90.00
Sites, in units of the cell vectors:
K 0.0000 0.0000 0.0000
K 0.5000 0.5000 0.0000
Ni 0.0000 0.5000 0.0000
Ni 0.5000 0.0000 0.0000
Mo 0.2500 0.2500 0.5000
Mo 0.2500 0.7500 0.5000
Mo 0.7500 0.2500 0.5000
Mo 0.7500 0.7500 0.5000

=====

Computed, not measured: a geometry-optimized CaInTe2O8 structure at the PBE level of DFT.

Output
Formation energy from raw total energies, eV/atom: -1.2852

abc: 6.1896 6.1896 6.1896
angles: 107.70 107.70 113.07
Sites, in units of the cell vectors:
Ca 0.0000 0.0000 0.0000
In 0.2500 0.7500 0.5000
Te 0.5000 0.5000 0.0000
Te 0.7500 0.2500 0.5000
O 0.3134 0.1164 0.8029
O 0.3134 0.5105 0.1971
O 0.3806 0.0658 0.3148
O 0.4895 0.6866 0.8029
O 0.7511 0.0658 0.6852
O 0.8836 0.6866 0.1971
O 0.9342 0.2489 0.3148
O 0.9342 0.6194 0.6852

=====

Computed, not measured: a geometry-optimized Np6Pd3S14 structure at the PBE level of DFT.

Output
Formation energy from raw total energies, eV/atom: -1.0279

abc: 9.5654 9.5654 5.7056
angles: 90.00 90.00 120.00
Sites, in units of the cell vectors:
Np 0.0442 0.4865 0.0000
Np 0.2880 0.1842 0.5145
Np 0.4423 0.9558 0.0000
Np 0.5135 0.5577 0.0000
Np 0.8158 0.1038 0.5145
Np 0.8962 0.7120 0.5145
Pd 0.0000 0.0000 0.1319
Pd 0.3333 0.6667 0.6152
Pd 0.6667 0.3333 0.7585
S 0.0000 0.0000 0.7195
S 0.1027 0.2674 0.2690
S 0.1646 0.8973 0.2690
S 0.1743 0.7730 0.7652
S 0.2270 0.4014 0.7652
S 0.3333 0.6667 0.2059
S 0.4099 0.2251 0.9903
S 0.5148 0.0817 0.5176
S 0.5669 0.4852 0.5176
S 0.5986 0.8257 0.7652
S 0.7326 0.8354 0.2690
S 0.7749 0.1848 0.9903
S 0.8152 0.5901 0.9903
S 0.9183 0.4331 0.5176

=====

Computed, not measured: a geometry-optimized NaTb2S structure at the PBE level of DFT.

Output
Formation energy from raw total energies, eV/atom: -0.7545

abc: 3.7326 3.7326 30.8509
angles: 90.00 90.00 120.00
Sites, in units of the cell vectors:
Na 0.0000 0.0000 0.0000
Na 0.3333 0.6667 0.6667
Na 0.6667 0.3333 0.3333
Tb 0.0000 0.0000 0.1140
Tb 0.0000 0.0000 0.8860
Tb 0.3333 0.6667 0.5527
Tb 0.3333 0.6667 0.7807
Tb 0.6667 0.3333 0.2193
Tb 0.6667 0.3333 0.4473
S 0.0000 0.0000 0.5000
S 0.3333 0.6667 0.1667
S 0.6667 0.3333 0.8333

=====

Computed, not measured: a geometry-optimized BaNiSN2 structure at the PBE level of DFT.

Output
Formation energy from raw total energies, eV/atom: 0.4423

abc: 4.1513 4.1513 4.7288
angles: 90.00 90.00 90.00
Sites, in units of the cell vectors:
Ba 0.0000 0.0000 0.0000
Ni 0.5000 0.5000 0.5000
S 0.5000 0.5000 0.0000
N 0.0000 0.5000 0.5000
N 0.5000 0.0000 0.5000

=====

Computed, not measured: a geometry-optimized MgMo2Pb structure at the PBE level of DFT.

Output
E_form, eV per atom: 0.77

abc: 3.0271 3.0271 28.8772
angles: 90.00 90.00 120.00
Sites, in units of the cell vectors:
Mg 0.0000 0.0000 0.0000
Mg 0.3333 0.6667 0.6667
Mg 0.6667 0.3333 0.3333
Mo 0.0000 0.0000 0.2506
Mo 0.0000 0.0000 0.7494
Mo 0.3333 0.6667 0.4161
Mo 0.3333 0.6667 0.9172
Mo 0.6667 0.3333 0.0828
Mo 0.6667 0.3333 0.5839
Pb 0.0000 0.0000 0.5000
Pb 0.3333 0.6667 0.1667
Pb 0.6667 0.3333 0.8333

=====

Record-wise total magnetic moment values, in Bohr magnetons per cell: 0.4; 0.0; 17.4; 0.0; 3.0; 0.0
Record-wise volume values, in Å³/f.u.: 70.7; 182.0; 452.1; 124.1; 81.5; 76.4